Record 1
This record from the Alexandria database describes a relaxed structure of YZnGa2Au. The functional is PBE.

Geometry as POSCAR:
```
YZnGa2Au
1.0
-0.305 1.833 -3.757
-3.900 -1.481 -0.406
0.145 4.334 4.441
Y Ga Au Zn
1 2 1 1
Direct
0.000 0.000 0.000
0.389 0.389 0.779
0.611 0.611 0.221
0.750 0.250 0.500
0.250 0.750 0.500
```

Results
Distance to the lowest polymorph of the same formula in kJ/mol of atoms: 0.00
Spin magnetization in μB per cell: 0.00
E_form in eV/atom: -0.534



Record 2
This record from the Alexandria database describes a relaxed structure of YZnGa2Au2. The functional is PBE.

Geometry as POSCAR:
```
YZnGa2Au2
1.0
4.446 0.000 0.000
-2.223 3.851 0.000
0.000 0.000 6.700
Au Ga Zn Y
2 2 1 1
Direct
0.333 0.667 0.295
0.667 0.333 0.705
0.667 0.333 0.265
0.333 0.667 0.735
0.000 0.000 0.500
0.000 0.000 0.000
```

Results
Spin magnetization in μB per cell: 0.00
E_form in eV/atom: -0.488



Record 3
This record from the Alexandria database describes a relaxed structure of Y2Zn3GaAu4. The functional is PBE.

Geometry as POSCAR:
```
Y2Zn3GaAu4
1.0
-1.491 1.412 -3.593
-3.860 -0.561 1.381
-0.043 10.815 4.269
Zn Ga Y Au
3 1 2 4
Direct
0.000 0.000 0.500
0.000 0.500 0.139
0.500 0.000 0.861
0.500 0.500 0.500
0.000 0.500 0.753
0.500 0.000 0.247
0.500 0.000 0.645
0.500 0.500 0.000
0.000 0.500 0.355
0.000 0.000 0.000
```

Results
Spin magnetization in μB per cell: 0.00
E_form in eV/atom: -0.519



Record 4
This record from the Alexandria database describes a relaxed structure of YZnGa2Au. The functional is PBE.

Geometry as POSCAR:
```
YZnGa2Au
1.0
5.549 0.000 0.000
0.000 5.449 0.000
0.000 0.000 5.549
Y Ga Au Zn
1 2 1 1
Direct
0.000 0.000 0.000
0.000 0.000 0.500
0.500 0.000 0.000
0.500 0.500 0.500
0.000 0.500 0.000
```

Results
Distance to the lowest polymorph of the same formula in kJ/mol of atoms: 139.42
Spin magnetization in μB per cell: 0.00
E_form in eV/atom: 0.911



Record 5
This record from the Alexandria database describes a relaxed structure of YZn3GaAu. The functional is PBE.

Geometry as POSCAR:
```
YZn3GaAu
1.0
-3.404 1.598 4.475
-3.859 -4.693 -1.259
5.267 -1.441 4.521
Au Ga Zn Y
2 2 6 2
Direct
0.750 0.664 0.328
0.250 0.336 0.672
0.750 0.078 0.155
0.250 0.922 0.845
0.250 0.130 0.259
0.750 0.870 0.741
0.500 0.302 0.000
0.000 0.302 0.000
0.000 0.698 0.000
0.500 0.698 0.000
0.750 0.297 0.594
0.250 0.703 0.406
```

Results
Spin magnetization in μB per cell: 0.00
E_form in eV/atom: -0.236



Record 6
This record from the Alexandria database describes a relaxed structure of YZn2GaAu5. The functional is PBE.

Geometry as POSCAR:
```
YZn2GaAu5
1.0
-2.923 -3.779 -0.164
2.920 -2.062 -4.517
4.204 -0.515 6.625
Zn Au Y Ga
2 5 1 1
Direct
0.187 0.187 0.374
0.813 0.813 0.626
0.000 0.000 0.000
0.654 0.893 0.307
0.654 0.414 0.307
0.346 0.107 0.693
0.346 0.586 0.693
0.000 0.500 0.000
0.500 0.000 0.000
```

Results
Spin magnetization in μB per cell: 0.00
E_form in eV/atom: -0.191



Record 7
This record from the Alexandria database describes a relaxed structure of YZn2Ga2Au2. The functional is PBE.

Geometry as POSCAR:
```
YZn2Ga2Au2
1.0
4.390 0.000 0.000
2.195 3.802 0.000
2.195 1.267 7.845
Ga Zn Y Au
2 2 1 2
Direct
0.260 0.260 0.219
0.740 0.740 0.781
0.142 0.142 0.575
0.858 0.858 0.425
0.000 0.000 0.000
0.427 0.427 0.718
0.573 0.573 0.282
```

Results
Spin magnetization in μB per cell: 0.00
E_form in eV/atom: -0.395



Record 8
This record from the Alexandria database describes a relaxed structure of YbGaAu2. The functional is PBE.

Geometry as POSCAR:
```
YbGaAu2
1.0
-3.702 -0.741 3.011
0.769 -1.987 4.334
-0.437 2.673 3.998
Au Yb Ga
2 1 1
Direct
0.000 0.000 0.000
0.500 0.500 0.500
0.250 0.250 0.250
0.750 0.750 0.750
```

Results
Spin magnetization in μB per cell: 0.00
E_form in eV/atom: -0.643



Record 9
This record from the Alexandria database describes a relaxed structure of Zn2GaAu3. The functional is PBE.

Geometry as POSCAR:
```
Zn2GaAu3
1.0
6.240 0.133 0.230
-1.261 6.306 0.193
-1.261 -2.958 5.572
Au Zn Ga
6 4 2
Direct
0.001 0.165 0.333
0.000 0.500 0.000
0.999 0.835 0.667
0.500 0.000 0.500
0.501 0.333 0.165
0.499 0.667 0.835
0.250 0.917 0.083
0.750 0.083 0.917
0.250 0.250 0.750
0.750 0.750 0.250
0.750 0.418 0.582
0.250 0.582 0.418
```

Results
Distance to the lowest polymorph of the same formula in kJ/mol of atoms: 5.55
Spin magnetization in μB per cell: 0.00
E_form in eV/atom: -0.093



Record 10
This record from the Alexandria database describes a relaxed structure of Zn4GaAu. The functional is PBE.

Geometry as POSCAR:
```
Zn4GaAu
1.0
-2.154 0.103 -5.478
0.795 -6.612 -0.436
-4.698 2.567 3.573
Zn Au Ga
8 2 2
Direct
0.000 0.809 0.000
0.000 0.191 0.000
0.204 0.696 0.393
0.491 0.080 0.752
0.509 0.920 0.248
0.491 0.673 0.752
0.509 0.327 0.248
0.796 0.304 0.607
0.246 0.456 0.911
0.754 0.544 0.089
0.817 0.787 0.574
0.183 0.213 0.426
```

Results
Distance to the lowest polymorph of the same formula in kJ/mol of atoms: 3.74
Spin magnetization in μB per cell: 0.00
E_form in eV/atom: -0.028



Record 11
This record from the Alexandria database describes a relaxed structure of Zn2GaAu6. The functional is PBE.

Geometry as POSCAR:
```
Zn2GaAu6
1.0
-3.816 -1.547 0.608
-0.689 -4.610 -1.800
1.242 -6.208 6.251
Au Ga Zn
6 1 2
Direct
0.014 0.790 0.182
0.662 0.738 0.937
0.652 0.108 0.588
0.338 0.262 0.063
0.986 0.210 0.818
0.348 0.892 0.412
0.000 0.500 0.500
0.305 0.645 0.744
0.695 0.355 0.256
```

Results
Distance to the lowest polymorph of the same formula in kJ/mol of atoms: 1.04
Spin magnetization in μB per cell: 0.00
E_form in eV/atom: -0.132



Record 12
This record from the Alexandria database describes a relaxed structure of Zn5GaAu8. The functional is PBE.

Geometry as POSCAR:
```
Zn5GaAu8
1.0
6.849 -0.034 0.058
-2.349 6.434 -0.058
-2.151 -3.270 5.621
Ga Au Zn
1 8 5
Direct
0.250 0.500 0.750
0.643 0.400 0.902
0.098 0.741 0.498
0.942 0.081 0.675
0.594 0.919 0.861
0.139 0.734 0.058
0.325 0.266 0.406
0.502 0.600 0.243
0.757 0.259 0.357
0.024 0.342 0.128
0.500 0.000 0.500
0.318 0.104 0.976
0.872 0.896 0.214
0.786 0.658 0.682
```

Results
Spin magnetization in μB per cell: 0.00
E_form in eV/atom: -0.119



Record 13
This record from the Alexandria database describes a relaxed structure of Zn4GaAu. The functional is PBE.

Geometry as POSCAR:
```
Zn4GaAu
1.0
5.155 0.000 0.000
2.578 4.465 0.000
2.578 1.488 4.209
Ga Zn Au
1 4 1
Direct
0.250 0.250 0.250
0.625 0.124 0.625
0.625 0.625 0.124
0.124 0.625 0.625
0.625 0.625 0.625
0.000 0.000 0.000
```

Results
Distance to the lowest polymorph of the same formula in kJ/mol of atoms: 6.93
Spin magnetization in μB per cell: 0.00
E_form in eV/atom: 0.005



Record 14
This record from the Alexandria database describes a relaxed structure of Zn2GaAu4. The functional is PBE.

Geometry as POSCAR:
```
Zn2GaAu4
1.0
6.612 -0.558 0.266
-1.065 6.303 -0.160
-2.406 -3.060 6.393
Zn Au Ga
4 8 2
Direct
0.626 0.875 0.251
0.125 0.375 0.750
0.625 0.375 0.750
0.625 0.375 0.250
0.510 0.747 0.848
0.347 0.088 0.344
0.903 0.662 0.155
0.329 0.108 0.861
0.258 0.481 0.149
0.739 0.003 0.653
0.992 0.269 0.351
0.921 0.643 0.639
0.269 0.768 0.504
0.982 0.982 0.996
```

Results
Distance to the lowest polymorph of the same formula in kJ/mol of atoms: 6.55
Spin magnetization in μB per cell: 0.00
E_form in eV/atom: -0.075



Record 15
This record from the Alexandria database describes a relaxed structure of ZnGa6Au. The functional is PBE.

Geometry as POSCAR:
```
ZnGa6Au
1.0
4.871 0.477 0.030
-1.369 4.699 0.030
-0.636 -0.941 6.722
Ga Au Zn
6 1 1
Direct
0.148 0.148 0.656
0.210 0.578 0.165
0.578 0.210 0.165
0.790 0.422 0.835
0.852 0.852 0.344
0.422 0.790 0.835
0.500 0.500 0.500
0.000 0.000 0.000
```

Results
Spin magnetization in μB per cell: 0.00
E_form in eV/atom: 0.011



Record 16
This record from the Alexandria database describes a relaxed structure of ZnGa3Au2. The functional is PBE.

Geometry as POSCAR:
```
ZnGa3Au2
1.0
4.317 0.000 0.000
0.000 7.201 -2.449
0.000 0.088 7.606
Zn Ga Au
2 6 4
Direct
0.993 0.607 0.607
0.493 0.393 0.393
0.994 0.352 0.849
0.490 0.923 0.923
0.494 0.151 0.648
0.990 0.077 0.077
0.494 0.648 0.151
0.994 0.849 0.352
0.994 0.449 0.207
0.494 0.551 0.793
0.494 0.793 0.551
0.994 0.207 0.449
```

Results
Spin magnetization in μB per cell: 0.00
E_form in eV/atom: -0.098



Record 17
This record from the Alexandria database describes a relaxed structure of ZnGa4Au. The functional is PBE.

Geometry as POSCAR:
```
ZnGa4Au
1.0
-2.999 -1.299 -4.671
5.291 -0.947 -3.134
-0.062 -5.936 1.690
Au Ga Zn
2 8 2
Direct
0.000 0.500 0.000
0.000 0.000 0.500
0.334 0.223 0.159
0.252 0.348 0.658
0.334 0.777 0.841
0.666 0.223 0.841
0.748 0.348 0.342
0.252 0.652 0.342
0.748 0.652 0.658
0.666 0.777 0.159
0.500 0.000 0.500
0.000 0.000 0.000
```

Results
Spin magnetization in μB per cell: 0.00
E_form in eV/atom: -0.033



Record 18
This record from the Alexandria database describes a relaxed structure of Zn2GaAu. The functional is PBE.

Geometry as POSCAR:
```
Zn2GaAu
1.0
3.504 0.000 0.000
0.000 3.504 0.000
0.000 0.000 5.378
Ga Au Zn
1 1 2
Direct
0.500 0.500 0.500
0.500 0.500 0.000
0.000 0.000 0.248
0.000 0.000 0.752
```

Results
Spin magnetization in μB per cell: 0.00
E_form in eV/atom: -0.093



Record 19
This record from the Alexandria database describes a relaxed structure of Zn3GaAu. The functional is PBE.

Geometry as POSCAR:
```
Zn3GaAu
1.0
-1.756 5.210 0.630
-4.345 -1.975 4.216
5.805 1.719 1.975
Au Zn Ga
2 6 2
Direct
0.500 0.000 0.000
0.000 0.000 0.000
0.250 0.799 0.201
0.250 0.402 0.201
0.750 0.201 0.799
0.750 0.201 0.402
0.250 0.799 0.598
0.750 0.598 0.799
0.750 0.667 0.333
0.250 0.333 0.667
```

Results
Distance to the lowest polymorph of the same formula in kJ/mol of atoms: 12.77
Spin magnetization in μB per cell: 0.00
E_form in eV/atom: 0.072



Record 20
This record from the Alexandria database describes a relaxed structure of Zn2GaAu5. The functional is PBE.

Geometry as POSCAR:
```
Zn2GaAu5
1.0
-0.217 -3.260 2.942
4.900 -1.991 -1.843
5.324 6.289 7.360
Au Zn Ga
10 4 2
Direct
0.500 0.820 0.395
0.500 0.680 0.895
0.000 0.500 0.500
0.000 0.906 0.738
0.500 0.320 0.105
0.500 0.180 0.605
0.000 0.594 0.238
0.000 0.094 0.262
0.000 0.000 0.000
0.000 0.406 0.762
0.500 0.663 0.644
0.500 0.163 0.856
0.500 0.337 0.356
0.500 0.837 0.144
0.000 0.500 0.000
0.000 0.000 0.500
```

Results
Distance to the lowest polymorph of the same formula in kJ/mol of atoms: 0.00
Spin magnetization in μB per cell: 0.00
E_form in eV/atom: -0.150